#a
Nd2SbH2: relaxed, PBE.

```
10
Lattice="0.0000 5.1553 5.7021 3.3382 0.0000 5.7021 3.3382 5.1553 0.0000" Properties=species:S:1:pos:R:3 pbc="T T T"
Nd 2.5037 0.6566 4.2766
Nd 4.1728 3.2343 7.1276
Nd 2.5037 7.0763 4.2766
Nd 4.1728 9.6539 7.1276
Sb 2.5037 3.8665 4.2766
Sb 4.1728 6.4441 7.1276
H 0.8346 1.2888 0.0738
H 0.8346 1.2888 2.7772
H 5.8419 9.0217 8.6270
H 5.8419 9.0217 11.3304
```

Calculated values
Its crystal system is orthorhombic. Its space-group type is Fddd, No. 70.

---

#b
Nd2SbH2: relaxed, PBE.

```
10
Lattice="12.8658 0.0000 0.0000 0.0000 4.0014 0.0000 -1.2418 0.0000 3.8069" Properties=species:S:1:pos:R:3 pbc="T T T"
Nd 1.6570 0.0000 0.5429
Nd 3.5341 2.0007 3.2640
Nd 8.0899 2.0007 0.5429
Nd 9.9670 0.0000 3.2640
Sb -0.6209 2.0007 1.9035
Sb 5.8120 0.0000 1.9035
H 2.2853 0.0000 2.8542
H 2.9057 2.0007 0.9527
H 9.3386 0.0000 0.9527
H 8.7182 2.0007 2.8542
```

Calculated values
Its crystal system is monoclinic. Its space-group type is C2/m, No. 12.

---

Which of them is the most stable? Correct choice: #b.

---

#a
Nd2ScH: relaxed, PBE.

```
4
Lattice="3.3736 0.0000 0.0000 0.0000 3.3736 0.0000 0.0000 0.0000 8.3425" Properties=species:S:1:pos:R:3 pbc="T T T"
Nd 0.0000 0.0000 1.6428
Nd 0.0000 0.0000 6.6997
Sc 1.6868 1.6868 4.1713
H 1.6868 1.6868 0.0000
```

Calculated values
Its crystal system is tetragonal. Its space-group type is P4/mmm, No. 123.

---

#b
Nd2ScH: relaxed, PBE.

```
12
Lattice="3.4639 0.0000 0.0000 -1.7320 2.9998 0.0000 0.0000 0.0000 28.0927" Properties=species:S:1:pos:R:3 pbc="T T T"
Nd 0.0000 0.0000 3.1905
Nd 0.0000 0.0000 24.9022
Nd 0.0000 1.9999 15.5379
Nd 0.0000 1.9999 21.9190
Nd 1.7320 0.9999 6.1737
Nd 1.7320 0.9999 12.5548
Sc 0.0000 0.0000 0.0000
Sc 0.0000 1.9999 18.7285
Sc 1.7320 0.9999 9.3642
H 0.0000 0.0000 14.0464
H 0.0000 1.9999 4.6821
H 1.7320 0.9999 23.4106
```

Calculated values
Its crystal system is trigonal. Its space-group type is R-3m, No. 166.

---

Which of them is the most stable? Correct choice: #b.